[1]
The following is a PBE-GGA calculation of a relaxed structure of CaLa2YS, from Alexandria.

extended XYZ file:
```
5
Lattice="5.708 0.000 0.000 0.000 5.708 0.000 0.000 0.000 5.292" Properties=species:S:1:pos:R:3 pbc="T T T"
Ca 0.000 0.000 0.000
La 0.000 2.854 2.646
La 2.854 0.000 2.646
Y 2.854 2.854 0.000
S 2.854 2.854 2.646
```

Energy (eV per atom): -5.226
Total magnetization (μB/f.u.): 0.0
Raw formation energy (eV/f.u.): -3.68

[2]
The following is a PBE-GGA calculation of a relaxed structure of CaLaY4S8, from Alexandria.

extended XYZ file:
```
14
Lattice="4.059 2.343 6.771 -4.059 2.343 6.771 0.000 -4.687 6.771" Properties=species:S:1:pos:R:3 pbc="T T T"
Ca 0.000 0.000 0.000
La 0.000 0.000 12.743
Y -2.059 -1.189 9.316
Y 0.000 0.000 5.113
Y 2.059 -1.189 9.316
Y 0.000 2.377 9.316
S 0.000 -2.248 10.893
S -1.947 1.124 10.893
S 0.000 0.000 7.800
S -1.900 -1.097 14.556
S 1.947 1.124 10.893
S 0.000 0.000 17.583
S 1.900 -1.097 14.556
S 0.000 2.194 14.556
```

Energy (eV per atom): -6.713
Total magnetization (μB/f.u.): 0.0
Raw formation energy (eV/f.u.): -28.18

[3]
The following is a PBE-GGA calculation of a relaxed structure of CaLaY2S, from Alexandria.

extended XYZ file:
```
5
Lattice="5.351 0.000 0.000 0.000 5.351 0.000 0.000 0.000 5.710" Properties=species:S:1:pos:R:3 pbc="T T T"
Ca 0.000 0.000 0.000
La 2.676 2.676 0.000
Y 0.000 2.676 2.855
Y 2.676 0.000 2.855
S 2.676 2.676 2.855
```

Energy (eV per atom): -5.498
Total magnetization (μB/f.u.): 0.0
Raw formation energy (eV/f.u.): -3.50